No. 1
A geometry-optimized LiTa2Si structure. Source: Alexandria via LeMat-Bulk, functional PBE.

The value obtained for the total energy is -0.287 Ha/atom.

The space group is I4/mmm (No. 139) and the conventional cell measures 4.0008, 4.0008 and 7.6609 Å, with angles of 90.00, 90.00 and 90.00 degrees. The distinct sites, in fractional coordinates, are Li at (0.0000, 0.0000, 0.0000), Ta at (0.0000, 0.5000, 0.2500) and Si at (0.0000, 0.0000, 0.5000).

No. 2
A geometry-optimized UPa2Os structure. Source: Alexandria via LeMat-Bulk, functional PBE.

The calculation puts the energy above the most stable polymorph in this dataset at 346 meV/atom.

The space group is R-3m (No. 166, hexagonal axes) and the conventional cell measures 3.0178, 3.0178 and 31.4971 Å, with angles of 90.00, 90.00 and 120.00 degrees. The distinct sites, in fractional coordinates, are U at (0.0000, 0.0000, 0.0000), Pa at (0.0000, 0.0000, 0.0914) and Os at (0.0000, 0.0000, 0.5000).

No. 3
A geometry-optimized Mn2SbH2 structure. Source: Alexandria via LeMat-Bulk, functional PBE.

The value obtained for the total energy is -0.210 Ha/atom.

The space group is I4/mmm (No. 139) and the conventional cell measures 3.4854, 3.4854 and 9.0985 Å, with angles of 90.00, 90.00 and 90.00 degrees. The distinct sites, in fractional coordinates, are Mn at (0.0000, 0.0000, 0.1759), Sb at (0.0000, 0.0000, 0.5000) and H at (0.0000, 0.5000, 0.2500).

No. 4
A geometry-optimized HfTcPb2 structure. Source: Alexandria via LeMat-Bulk, functional PBE.

The calculation puts the energy above the most stable polymorph in this dataset at 232 meV/atom.

The space group is I-42d (No. 122) and the conventional cell measures 7.8991, 7.8991 and 6.0224 Å, with angles of 90.00, 90.00 and 90.00 degrees. The distinct sites, in fractional coordinates, are Hf at (0.0000, 0.0000, 0.0000), Tc at (0.0000, 0.0000, 0.5000) and Pb at (0.2267, 0.2500, 0.6250).

No. 5
A geometry-optimized Rb5AgBr6 structure. Source: Alexandria via LeMat-Bulk, functional PBE.

The value obtained for the total energy is -0.109 Ha/atom.

The space group is C2/m (No. 12) and the conventional cell measures 8.3740, 14.7564 and 8.3608 Å, with angles of 90.00, 108.06 and 90.00 degrees. The distinct sites, in fractional coordinates, are Rb at (0.0000, 0.0000, 0.0000), Rb at (0.0000, 0.1737, 0.5000), Rb at (0.0000, 0.3354, 0.0000), Ag at (0.0000, 0.5000, 0.5000), Br at (0.1994, 0.5000, 0.3073) and Br at (0.2420, 0.1647, 0.2418).

No. 6
A geometry-optimized Fe2RePb structure. Source: Alexandria via LeMat-Bulk, functional PBE.

The value obtained for the total energy is -0.267 Ha/atom.

The space group is I-42d (No. 122) and the conventional cell measures 6.9191, 6.9191 and 5.6046 Å, with angles of 90.00, 90.00 and 90.00 degrees. The distinct sites, in fractional coordinates, are Fe at (0.1972, 0.2500, 0.1250), Re at (0.0000, 0.0000, 0.0000) and Pb at (0.0000, 0.0000, 0.5000).

No. 7
A geometry-optimized Be2Ru structure. Source: Alexandria via LeMat-Bulk, functional PBE.

The calculation puts the energy above the most stable polymorph in this dataset at 67 meV/atom.

The space group is Cm (No. 8) and the conventional cell measures 8.1260, 3.1482 and 4.9521 Å, with angles of 90.00, 107.07 and 90.00 degrees. The distinct sites, in fractional coordinates, are Be at (0.0000, 0.0000, 0.0000), Be at (0.0002, 0.0000, 0.4988), Be at (0.1751, 0.5000, 0.3352), Be at (0.3241, 0.0000, 0.6633), Ru at (0.1364, 0.5000, 0.8013) and Ru at (0.3627, 0.0000, 0.1972).

No. 8
A geometry-optimized NaPrEuAu structure. Source: Alexandria via LeMat-Bulk, functional PBE.

The value obtained for the total energy is -0.189 Ha/atom.

The space group is F-43m (No. 216) and the conventional cell measures 7.7159, 7.7159 and 7.7159 Å, with angles of 90.00, 90.00 and 90.00 degrees. The distinct sites, in fractional coordinates, are Na at (0.0000, 0.0000, 0.0000), Pr at (0.2500, 0.2500, 0.2500), Eu at (0.2500, 0.2500, 0.7500) and Au at (0.0000, 0.0000, 0.5000).

No. 9
A geometry-optimized Mn2CdCoSb structure. Source: Alexandria via LeMat-Bulk, functional PBE.

The value obtained for the total energy is -0.174 Ha/atom.

The space group is P4/mmm (No. 123) and the conventional cell measures 4.9746, 4.9746 and 5.3688 Å, with angles of 90.00, 90.00 and 90.00 degrees. The distinct sites, in fractional coordinates, are Mn at (0.0000, 0.5000, 0.0000), Cd at (0.0000, 0.0000, 0.5000), Co at (0.5000, 0.5000, 0.5000) and Sb at (0.0000, 0.0000, 0.0000).

No. 10
A geometry-optimized TePAu structure. Source: Alexandria via LeMat-Bulk, functional PBE.

The calculation puts the energy above the most stable polymorph in this dataset at 65 meV/atom.

The space group is P1 (No. 1) and the conventional cell measures 4.8116, 5.6358 and 6.2837 Å, with angles of 73.03, 68.28 and 75.62 degrees. The distinct sites, in fractional coordinates, are Te at (0.0000, 0.0000, 0.0000), Te at (0.4821, 0.4904, 0.9717), P at (0.2368, 0.1380, 0.4202), P at (0.6323, 0.8370, 0.4084), Au at (0.4334, 0.4745, 0.4555) and Au at (0.8424, 0.8610, 0.6939).

No. 11
A geometry-optimized Tl2AgBiRh structure. Source: Alexandria via LeMat-Bulk, functional PBE.

The value obtained for the total energy is -0.108 Ha/atom.

The space group is P4/mmm (No. 123) and the conventional cell measures 6.0103, 6.0103 and 5.0605 Å, with angles of 90.00, 90.00 and 90.00 degrees. The distinct sites, in fractional coordinates, are Tl at (0.0000, 0.5000, 0.0000), Ag at (0.0000, 0.0000, 0.5000), Bi at (0.5000, 0.5000, 0.0000) and Rh at (0.5000, 0.5000, 0.5000).

No. 12
A geometry-optimized Ho14HfSc structure. Source: Alexandria via LeMat-Bulk, functional PBE.

The value obtained for the total energy is -0.183 Ha/atom.

The space group is P4/mmm (No. 123) and the conventional cell measures 6.9635, 6.9635 and 9.8190 Å, with angles of 90.00, 90.00 and 90.00 degrees. The distinct sites, in fractional coordinates, are Ho at (0.0000, 0.0000, 0.0000), Ho at (0.0000, 0.5000, 0.0000), Ho at (0.0000, 0.5000, 0.5000), Ho at (0.2465, 0.2465, 0.2577), Ho at (0.5000, 0.5000, 0.0000), Hf at (0.0000, 0.0000, 0.5000) and Sc at (0.5000, 0.5000, 0.5000).

No. 13
A geometry-optimized PaPtO4 structure. Source: Alexandria via LeMat-Bulk, functional PBE.

The value obtained for the total energy is -0.293 Ha/atom.

The space group is Amm2 (No. 38) and the conventional cell measures 5.4745, 5.3375 and 5.6209 Å, with angles of 90.00, 90.00 and 90.00 degrees. The distinct sites, in fractional coordinates, are Pa at (0.0000, 0.0000, 0.0000), Pt at (0.5000, 0.0000, 0.7232) and O at (0.2295, 0.2438, 0.7319).

No. 14
A geometry-optimized SrCa8Ag2 structure. Source: Alexandria via LeMat-Bulk, functional PBE.

The value obtained for the total energy is -0.081 Ha/atom.

The space group is C2/m (No. 12) and the conventional cell measures 17.5426, 7.3654 and 6.4641 Å, with angles of 90.00, 91.88 and 90.00 degrees. The distinct sites, in fractional coordinates, are Sr at (0.0000, 0.0000, 0.0000), Ca at (0.0935, 0.5000, 0.1001), Ca at (0.1160, 0.2488, 0.5825), Ca at (0.2156, 0.0000, 0.1240) and Ag at (0.2395, 0.5000, 0.3656).

No. 15
A geometry-optimized NaPr2O structure. Source: Alexandria via LeMat-Bulk, functional PBE.

The value obtained for the total energy is -0.185 Ha/atom.

The space group is R-3m (No. 166, hexagonal axes) and the conventional cell measures 3.7017, 3.7017 and 29.7228 Å, with angles of 90.00, 90.00 and 120.00 degrees. The distinct sites, in fractional coordinates, are Na at (0.0000, 0.0000, 0.0000), Pr at (0.0000, 0.0000, 0.1208) and O at (0.0000, 0.0000, 0.5000).

No. 16
A geometry-optimized SrPuGa2Ir2 structure. Source: Alexandria via LeMat-Bulk, functional PBE.

The value obtained for the total energy is -0.264 Ha/atom.

The space group is P-3m1 (No. 164) and the conventional cell measures 4.4117, 4.4117 and 7.7281 Å, with angles of 90.00, 90.00 and 120.00 degrees. The distinct sites, in fractional coordinates, are Sr at (0.0000, 0.0000, 0.0000), Pu at (0.0000, 0.0000, 0.5000), Ga at (0.3333, 0.6667, 0.2816) and Ir at (0.3333, 0.6667, 0.6844).

No. 17
A geometry-optimized Ho3HfPa2N6 structure. Source: Alexandria via LeMat-Bulk, functional PBE.

The value obtained for the total energy is -0.346 Ha/atom.

The space group is C2/m (No. 12) and the conventional cell measures 5.9342, 10.2823 and 5.9331 Å, with angles of 90.00, 109.30 and 90.00 degrees. The distinct sites, in fractional coordinates, are Ho at (0.0000, 0.0000, 0.0000), Ho at (0.0000, 0.3354, 0.0000), Hf at (0.0000, 0.5000, 0.5000), Pa at (0.0000, 0.1663, 0.5000), N at (0.2411, 0.3362, 0.7331) and N at (0.2464, 0.5000, 0.2612).

No. 18
A geometry-optimized Na2Cd3Au5 structure. Source: Alexandria via LeMat-Bulk, functional PBE.

The value obtained for the total energy is -0.087 Ha/atom.

The space group is Ibam (No. 72) and the conventional cell measures 11.4976, 13.5452 and 5.8229 Å, with angles of 90.00, 90.00 and 90.00 degrees. The distinct sites, in fractional coordinates, are Na at (0.1220, 0.2274, 0.0000), Cd at (0.0000, 0.0000, 0.2500), Cd at (0.1190, 0.3511, 0.5000), Au at (0.0000, 0.5000, 0.2500), Au at (0.1349, 0.1518, 0.5000) and Au at (0.2493, 0.5000, 0.2500).